Here is Cd2InGeO6 after structural relaxation from the Alexandria database. Energies are from PBE-GGA.

Summary:
Space group: P4mm (99)
DOS(E_F), states/eV per atom: 0.309
Raw formation energy, eV/atom: -1.057

a b c (Å): 5.1806 5.1806 5.1808
angles (deg): 90.00 90.00 90.00
Sites, in units of the cell vectors:
Cd 0.0000 0.5000 0.0000
Cd 0.5000 0.0000 0.0000
In 0.0000 0.0000 0.5313
Ge 0.5000 0.5000 0.5726
O 0.0000 0.0000 0.1383
O 0.2637 0.2637 0.7067
O 0.2637 0.7363 0.7067
O 0.5000 0.5000 0.2296
O 0.7363 0.2637 0.7067
O 0.7363 0.7363 0.7067